1.
# AlSi2Ni4 (PBE, optimized geometry)
# VASP energy ... -39.7 eV per formula unit
# Mass density ... 5.87 g/cm3
data_AlSi2Ni4
_chemical_formula_sum 'Al2 Si4 Ni8'
_space_group_name_H-M_alt 'P 63 m c'
_space_group_IT_number 186
_space_group_name_Hall 'P 6c -2c'
_cell_length_a 3.8169
_cell_length_b 3.8169
_cell_length_c 14.2605
_cell_angle_alpha 90.00
_cell_angle_beta 90.00
_cell_angle_gamma 120.00
loop_
_atom_site_label
_atom_site_fract_x
_atom_site_fract_y
_atom_site_fract_z
_atom_site_occupancy
Al1 0.0000 0.0000 0.0000 1
Si1 0.3333 0.6667 0.2330 1
Si2 0.3333 0.6667 0.8835 1
Ni1 0.0000 0.0000 0.1628 1
Ni2 0.0000 0.0000 0.3276 1
Ni3 0.3333 0.6667 0.0636 1
Ni4 0.3333 0.6667 0.4238 1



2.
# Al2SiNi2 (PBE, optimized geometry)
# VASP energy ... -26.6 eV per formula unit
# Mass density ... 5.05 g/cm3
data_Al2SiNi2
_chemical_formula_sum 'Al4 Si2 Ni4'
_space_group_name_H-M_alt 'P b a m'
_space_group_IT_number 55
_cell_length_a 5.915
_cell_length_b 8.248
_cell_length_c 2.690
_cell_angle_alpha 90.00
_cell_angle_beta 90.00
_cell_angle_gamma 90.00
loop_
_space_group_symop_operation_xyz
'x,y,z'
'-x,-y,-z'
'-x,-y,z'
'x,y,-z'
'x+1/2,-y+1/2,-z'
'-x+1/2,y+1/2,z'
'-x+1/2,y+1/2,-z'
'x+1/2,-y+1/2,z'
loop_
_atom_site_label
_atom_site_fract_x
_atom_site_fract_y
_atom_site_fract_z
_atom_site_occupancy
Al1 0.130 0.188 0.000 1
Si1 0.000 0.500 0.000 1
Ni1 0.196 0.926 0.500 1



3.
# AlSi4Ni (PBE, optimized geometry)
# VASP energy ... -30.6 eV per formula unit
# Mass density ... 3.60 g/cm3
data_AlSi4Ni
_chemical_formula_sum 'Al4 Si16 Ni4'
_space_group_name_H-M_alt 'C m c m'
_space_group_IT_number 63
_space_group_name_Hall '-C 2c 2'
_cell_length_a 2.610
_cell_length_b 16.671
_cell_length_c 8.387
_cell_angle_alpha 90.00
_cell_angle_beta 90.00
_cell_angle_gamma 90.00
loop_
_atom_site_label
_atom_site_fract_x
_atom_site_fract_y
_atom_site_fract_z
_atom_site_occupancy
Al1 0.000 0.187 0.250 1
Si1 0.000 0.035 0.250 1
Si2 0.000 0.352 0.033 1
Si3 0.000 0.500 0.000 1
Ni1 0.000 0.189 0.750 1